# SbPt6, relaxed, DFT PBE
data_SbPt6
_chemical_formula_sum 'Sb1 Pt6'
_cell_length_a 6.081
_cell_length_b 6.081
_cell_length_c 6.081
_cell_angle_alpha 109.47
_cell_angle_beta 109.47
_cell_angle_gamma 109.47
_symmetry_space_group_name_H-M 'P 1'
_symmetry_Int_Tables_number 1
loop_
_symmetry_equiv_pos_as_xyz
'x,y,z'
loop_
_atom_site_label
_atom_site_type_symbol
_atom_site_fract_x
_atom_site_fract_y
_atom_site_fract_z
_atom_site_occupancy
Sb1 Sb 0.000 0.000 0.000 1
Pt1 Pt 0.250 0.500 0.750 1
Pt2 Pt 0.500 0.250 0.750 1
Pt3 Pt 0.750 0.250 0.500 1
Pt4 Pt 0.250 0.750 0.500 1
Pt5 Pt 0.750 0.500 0.250 1
Pt6 Pt 0.500 0.750 0.250 1
# Formation energy from raw total energies   870 meV per atom
# Final energy   -4.90 eV/atom